(1)
# ErThAsN GGA-PBE optimized geometry
# N(E_F): 3.5 states/eV per cell
# Formation energy from raw total energies: -1.252 eV/atom
data_ErThAsN
_chemical_formula_sum 'Er2 Th2 As2 N2'
_cell_length_a 4.3805
_cell_length_b 4.3805
_cell_length_c 9.1956
_cell_angle_alpha 90.00
_cell_angle_beta 90.00
_cell_angle_gamma 90.00
_symmetry_space_group_name_H-M 'P 4/n m m'
_symmetry_Int_Tables_number 129
loop_
_symmetry_equiv_pos_as_xyz
'x,y,z'
'-x,-y,-z'
'-y+1/2,x,z'
'y+1/2,-x,-z'
'-x+1/2,-y+1/2,z'
'x+1/2,y+1/2,-z'
'y,-x+1/2,z'
'-y,x+1/2,-z'
'x+1/2,-y,-z'
'-x+1/2,y,z'
'-y,-x,-z'
'y,x,z'
'-x,y+1/2,-z'
'x,-y+1/2,z'
'y+1/2,x+1/2,-z'
'-y+1/2,-x+1/2,z'
loop_
_atom_site_label
_atom_site_fract_x
_atom_site_fract_y
_atom_site_fract_z
Er1 0.2500 0.7500 0.0000
Th1 0.2500 0.2500 0.3898
As1 0.2500 0.2500 0.8054
N1 0.2500 0.7500 0.5000

---

(2)
# NaErAs GGA-PBE optimized geometry
# N(E_F): 2.4 states/eV per cell
# E_form: -0.504 eV per atom
data_NaErAs
_chemical_formula_sum 'Na1 Er1 As1'
_cell_length_a 4.2280
_cell_length_b 4.2280
_cell_length_c 6.4590
_cell_angle_alpha 90.00
_cell_angle_beta 90.00
_cell_angle_gamma 120.00
_symmetry_space_group_name_H-M 'P 3 m 1'
_symmetry_Int_Tables_number 156
loop_
_symmetry_equiv_pos_as_xyz
'x,y,z'
'-y,x-y,z'
'-x+y,-x,z'
'-y,-x,z'
'-x+y,y,z'
'x,x-y,z'
loop_
_atom_site_label
_atom_site_fract_x
_atom_site_fract_y
_atom_site_fract_z
Na1 0.0000 0.0000 0.0000
Er1 0.3333 0.6667 0.4644
As1 0.6667 0.3333 0.2716

---

(3)
# NaErAs GGA-PBE optimized geometry
# N(E_F): 4.4 states/eV per cell
# E_form: -0.695 eV per atom
data_NaErAs
_chemical_formula_sum 'Na2 Er2 As2'
_cell_length_a 4.8820
_cell_length_b 4.8820
_cell_length_c 7.2143
_cell_angle_alpha 90.00
_cell_angle_beta 90.00
_cell_angle_gamma 90.00
_symmetry_space_group_name_H-M 'P 4/n m m'
_symmetry_Int_Tables_number 129
loop_
_symmetry_equiv_pos_as_xyz
'x,y,z'
'-x,-y,-z'
'-y+1/2,x,z'
'y+1/2,-x,-z'
'-x+1/2,-y+1/2,z'
'x+1/2,y+1/2,-z'
'y,-x+1/2,z'
'-y,x+1/2,-z'
'x+1/2,-y,-z'
'-x+1/2,y,z'
'-y,-x,-z'
'y,x,z'
'-x,y+1/2,-z'
'x,-y+1/2,z'
'y+1/2,x+1/2,-z'
'-y+1/2,-x+1/2,z'
loop_
_atom_site_label
_atom_site_fract_x
_atom_site_fract_y
_atom_site_fract_z
Na1 0.2500 0.2500 0.1172
Er1 0.2500 0.7500 0.5000
As1 0.2500 0.2500 0.7065

---

(4)
# NaErAsO4 GGA-PBE optimized geometry
# N(E_F): 10.8 states/eV per cell
# Formation energy from raw total energies: -2.023 eV/atom
data_NaErAsO4
_chemical_formula_sum 'Na4 Er4 As4 O16'
_cell_length_a 6.4262
_cell_length_b 6.6901
_cell_length_c 8.8923
_cell_angle_alpha 90.00
_cell_angle_beta 90.00
_cell_angle_gamma 90.00
_symmetry_space_group_name_H-M 'I m m a'
_symmetry_Int_Tables_number 74
_symmetry_space_group_name_Hall '-I 2b 2'
loop_
_atom_site_label
_atom_site_fract_x
_atom_site_fract_y
_atom_site_fract_z
Na1 0.2500 0.2500 0.2500
Er1 0.0000 0.0000 0.0000
As1 0.0000 0.2500 0.6254
O1 0.0000 0.0329 0.7435
O2 0.2339 0.2500 0.9935

---

(5)
# Na2ErAs2O6 GGA-PBE optimized geometry
# N(E_F): 2.6 states/eV per cell
# Formation energy from raw total energies: -1.889 eV/atom
data_Na2ErAs2O6
_chemical_formula_sum 'Na4 Er2 As4 O12'
_cell_length_a 9.1866
_cell_length_b 5.9035
_cell_length_c 6.7749
_cell_angle_alpha 90.00
_cell_angle_beta 117.28
_cell_angle_gamma 90.00
_symmetry_space_group_name_H-M 'C 1 2/m 1'
_symmetry_Int_Tables_number 12
loop_
_symmetry_equiv_pos_as_xyz
'x,y,z'
'-x,-y,-z'
'-x,y,-z'
'x,-y,z'
'x+1/2,y+1/2,z'
'-x+1/2,-y+1/2,-z'
'-x+1/2,y+1/2,-z'
'x+1/2,-y+1/2,z'
loop_
_atom_site_label
_atom_site_fract_x
_atom_site_fract_y
_atom_site_fract_z
Na1 0.2038 0.0000 0.1403
Er1 0.0000 0.0000 0.5000
As1 0.0598 0.5000 0.2269
O1 0.0581 0.2622 0.7700
O2 0.2450 0.5000 0.4720

---

(6)
# Na4Er3AsO8 GGA-PBE optimized geometry
# N(E_F): 0.0 states/eV per cell
# Formation energy from raw total energies: -2.421 eV/atom
data_Na4Er3AsO8
_chemical_formula_sum 'Na12 Er9 As3 O24'
_cell_length_a 6.6996
_cell_length_b 6.6996
_cell_length_c 16.6785
_cell_angle_alpha 90.00
_cell_angle_beta 90.00
_cell_angle_gamma 120.00
_symmetry_space_group_name_H-M 'R -3 m'
_symmetry_Int_Tables_number 166
_symmetry_space_group_name_Hall '-R 3 2"'
loop_
_atom_site_label
_atom_site_fract_x
_atom_site_fract_y
_atom_site_fract_z
Na1 0.0000 0.0000 0.0000
Na2 0.0000 0.5000 0.0000
Er1 0.0000 0.5000 0.5000
As1 0.0000 0.0000 0.5000
O1 0.0000 0.0000 0.2365
O2 0.0035 0.5018 0.2372

---

(7)
# Na2ErAsO4 GGA-PBE optimized geometry
# N(E_F): 0.0 states/eV per cell
# Formation energy from raw total energies: -1.996 eV/atom
data_Na2ErAsO4
_chemical_formula_sum 'Na2 Er1 As1 O4'
_cell_length_a 5.7145
_cell_length_b 3.3251
_cell_length_c 5.8631
_cell_angle_alpha 90.00
_cell_angle_beta 108.83
_cell_angle_gamma 90.00
_symmetry_space_group_name_H-M 'P 1 2/m 1'
_symmetry_Int_Tables_number 10
loop_
_symmetry_equiv_pos_as_xyz
'x,y,z'
'-x,-y,-z'
'-x,y,-z'
'x,-y,z'
loop_
_atom_site_label
_atom_site_fract_x
_atom_site_fract_y
_atom_site_fract_z
Na1 0.0000 0.0000 0.0000
Na2 0.5000 0.5000 0.0000
Er1 0.0000 0.5000 0.5000
As1 0.5000 0.0000 0.5000
O1 0.2416 0.0000 0.7106
O2 0.2644 0.5000 0.2849

---

(8)
# Na3Er3AsS8 GGA-PBE optimized geometry
# N(E_F): 6.3 states/eV per cell
# Formation energy from raw total energies: -1.439 eV/atom
data_Na3Er3AsS8
_chemical_formula_sum 'Na9 Er9 As3 S24'
_cell_length_a 7.7724
_cell_length_b 7.7724
_cell_length_c 20.2079
_cell_angle_alpha 90.00
_cell_angle_beta 90.00
_cell_angle_gamma 120.00
_symmetry_space_group_name_H-M 'R -3 m'
_symmetry_Int_Tables_number 166
_symmetry_space_group_name_Hall '-R 3 2"'
loop_
_atom_site_label
_atom_site_fract_x
_atom_site_fract_y
_atom_site_fract_z
Na1 0.0000 0.5000 0.0000
Er1 0.0000 0.5000 0.5000
As1 0.0000 0.0000 0.5000
S1 0.0000 0.0000 0.2416
S2 0.0226 0.5113 0.2374

---

(9)
# Na4Er3AsS8 GGA-PBE optimized geometry
# N(E_F): 0.0 states/eV per cell
# Formation energy from raw total energies: -1.513 eV/atom
data_Na4Er3AsS8
_chemical_formula_sum 'Na12 Er9 As3 S24'
_cell_length_a 7.8267
_cell_length_b 7.8267
_cell_length_c 19.9893
_cell_angle_alpha 90.00
_cell_angle_beta 90.00
_cell_angle_gamma 120.00
_symmetry_space_group_name_H-M 'R -3 m'
_symmetry_Int_Tables_number 166
_symmetry_space_group_name_Hall '-R 3 2"'
loop_
_atom_site_label
_atom_site_fract_x
_atom_site_fract_y
_atom_site_fract_z
Na1 0.0000 0.0000 0.0000
Na2 0.0000 0.5000 0.0000
Er1 0.0000 0.5000 0.5000
As1 0.0000 0.0000 0.5000
S1 0.0000 0.0000 0.2420
S2 0.0097 0.5049 0.2403

---

(10)
# Na2ErAsSe4 GGA-PBE optimized geometry
# Formation energy from raw total energies: -1.087 eV/atom
data_Na2ErAsSe4
_chemical_formula_sum 'Na8 Er4 As4 Se16'
_cell_length_a 8.1446
_cell_length_b 8.2747
_cell_length_c 11.6286
_cell_angle_alpha 90.00
_cell_angle_beta 90.00
_cell_angle_gamma 90.00
_symmetry_space_group_name_H-M 'I m m a'
_symmetry_Int_Tables_number 74
_symmetry_space_group_name_Hall '-I 2b 2'
loop_
_atom_site_label
_atom_site_fract_x
_atom_site_fract_y
_atom_site_fract_z
Na1 0.0000 0.0000 0.0000
Na2 0.2500 0.2500 0.2500
Er1 0.0000 0.0000 0.5000
As1 0.2500 0.2500 0.7500
Se1 0.0000 0.0234 0.7450
Se2 0.2400 0.2500 0.5127

---

(11)
# ErNbAs2Rh5 GGA-PBE optimized geometry
# N(E_F): 5.4 states/eV per cell
# E_form: -0.254 eV per atom
data_ErNbAs2Rh5
_chemical_formula_sum 'Er1 Nb1 As2 Rh5'
_cell_length_a 3.9827
_cell_length_b 3.9827
_cell_length_c 11.0629
_cell_angle_alpha 90.00
_cell_angle_beta 90.00
_cell_angle_gamma 90.00
_symmetry_space_group_name_H-M 'P 4/m m m'
_symmetry_Int_Tables_number 123
_symmetry_space_group_name_Hall '-P 4 2'
loop_
_atom_site_label
_atom_site_fract_x
_atom_site_fract_y
_atom_site_fract_z
Er1 0.0000 0.0000 0.0000
Nb1 0.5000 0.5000 0.5000
As1 0.5000 0.5000 0.2142
Rh1 0.0000 0.5000 0.3476
Rh2 0.5000 0.5000 0.0000

---

(12)
# Nd2ErAs3 GGA-PBE optimized geometry
# N(E_F): 1.8 states/eV per cell
# E_form: -1.497 eV per atom
data_Nd2ErAs3
_chemical_formula_sum 'Nd4 Er2 As6'
_cell_length_a 4.2150
_cell_length_b 4.2150
_cell_length_c 17.8642
_cell_angle_alpha 90.00
_cell_angle_beta 90.00
_cell_angle_gamma 90.00
_symmetry_space_group_name_H-M 'I 4/m m m'
_symmetry_Int_Tables_number 139
_symmetry_space_group_name_Hall '-I 4 2'
loop_
_atom_site_label
_atom_site_fract_x
_atom_site_fract_y
_atom_site_fract_z
Nd1 0.0000 0.0000 0.1661
Er1 0.0000 0.0000 0.5000
As1 0.0000 0.0000 0.0000
As2 0.0000 0.0000 0.3366

---

(13)
# NdEr5As6 GGA-PBE optimized geometry
# N(E_F): 3.8 states/eV per cell
# E_form: -1.510 eV per atom
data_NdEr5As6
_chemical_formula_sum 'Nd2 Er10 As12'
_cell_length_a 7.1292
_cell_length_b 12.3465
_cell_length_c 7.1275
_cell_angle_alpha 90.00
_cell_angle_beta 109.46
_cell_angle_gamma 90.00
_symmetry_space_group_name_H-M 'C 1 2/m 1'
_symmetry_Int_Tables_number 12
loop_
_symmetry_equiv_pos_as_xyz
'x,y,z'
'-x,-y,-z'
'-x,y,-z'
'x,-y,z'
'x+1/2,y+1/2,z'
'-x+1/2,-y+1/2,-z'
'-x+1/2,y+1/2,-z'
'x+1/2,-y+1/2,z'
loop_
_atom_site_label
_atom_site_fract_x
_atom_site_fract_y
_atom_site_fract_z
Nd1 0.0000 0.0000 0.0000
Er1 0.0000 0.1650 0.5000
Er2 0.0000 0.3328 0.0000
Er3 0.0000 0.5000 0.5000
As1 0.2453 0.3302 0.7457
As2 0.2446 0.5000 0.2532

---

(14)
# NdEr2As GGA-PBE optimized geometry
# N(E_F): 10.8 states/eV per cell
# E_form: -0.613 eV per atom
data_NdEr2As
_chemical_formula_sum 'Nd3 Er6 As3'
_cell_length_a 3.8358
_cell_length_b 3.8358
_cell_length_c 28.3270
_cell_angle_alpha 90.00
_cell_angle_beta 90.00
_cell_angle_gamma 120.00
_symmetry_space_group_name_H-M 'R -3 m'
_symmetry_Int_Tables_number 166
_symmetry_space_group_name_Hall '-R 3 2"'
loop_
_atom_site_label
_atom_site_fract_x
_atom_site_fract_y
_atom_site_fract_z
Nd1 0.0000 0.0000 0.0000
Er1 0.0000 0.0000 0.2274
As1 0.0000 0.0000 0.5000

---

(15)
# NdEr4As5 GGA-PBE optimized geometry
# N(E_F): 3.3 states/eV per cell
# E_form: -1.509 eV per atom
data_NdEr4As5
_chemical_formula_sum 'Nd2 Er8 As10'
_cell_length_a 13.6613
_cell_length_b 4.1243
_cell_length_c 10.0989
_cell_angle_alpha 90.00
_cell_angle_beta 119.50
_cell_angle_gamma 90.00
_symmetry_space_group_name_H-M 'C 1 2/m 1'
_symmetry_Int_Tables_number 12
loop_
_symmetry_equiv_pos_as_xyz
'x,y,z'
'-x,-y,-z'
'-x,y,-z'
'x,-y,z'
'x+1/2,y+1/2,z'
'-x+1/2,-y+1/2,-z'
'-x+1/2,y+1/2,-z'
'x+1/2,-y+1/2,z'
loop_
_atom_site_label
_atom_site_fract_x
_atom_site_fract_y
_atom_site_fract_z
Nd1 0.0000 0.0000 0.0000
Er1 0.0982 0.5000 0.3993
Er2 0.2010 0.0000 0.7969
As1 0.0000 0.0000 0.5000
As2 0.1046 0.5000 0.8966
As3 0.2026 0.0000 0.3066

---

(16)
# NdErAs GGA-PBE optimized geometry
# N(E_F): 4.0 states/eV per cell
# E_form: -0.720 eV per atom
data_NdErAs
_chemical_formula_sum 'Nd2 Er2 As2'
_cell_length_a 3.7609
_cell_length_b 3.7609
_cell_length_c 11.4054
_cell_angle_alpha 90.00
_cell_angle_beta 90.00
_cell_angle_gamma 90.00
_symmetry_space_group_name_H-M 'I 4 m m'
_symmetry_Int_Tables_number 107
_symmetry_space_group_name_Hall 'I 4 -2'
loop_
_atom_site_label
_atom_site_fract_x
_atom_site_fract_y
_atom_site_fract_z
Nd1 0.0000 0.0000 0.0000
Er1 0.0000 0.0000 0.2835
As1 0.0000 0.0000 0.6642

---

(17)
# NdErAs2 GGA-PBE optimized geometry
# N(E_F): 1.1 states/eV per cell
# E_form: -1.342 eV per atom
# Energy above the lowest structure with this stoichiometry: 0.662 eV per formula unit
data_NdErAs2
_chemical_formula_sum 'Nd3 Er3 As6'
_cell_length_a 4.1437
_cell_length_b 4.1437
_cell_length_c 21.3238
_cell_angle_alpha 90.00
_cell_angle_beta 90.00
_cell_angle_gamma 120.00
_symmetry_space_group_name_H-M 'R 3 m'
_symmetry_Int_Tables_number 160
_symmetry_space_group_name_Hall 'R 3 -2"'
loop_
_atom_site_label
_atom_site_fract_x
_atom_site_fract_y
_atom_site_fract_z
Nd1 0.0000 0.0000 0.0000
Er1 0.0000 0.0000 0.8286
As1 0.0000 0.0000 0.4165
As2 0.0000 0.0000 0.5781

---

(18)
# NdErAs GGA-PBE optimized geometry
# N(E_F): 5.5 states/eV per cell
# E_form: -0.931 eV per atom
data_NdErAs
_chemical_formula_sum 'Nd2 Er2 As2'
_cell_length_a 4.3375
_cell_length_b 4.3375
_cell_length_c 8.3396
_cell_angle_alpha 90.00
_cell_angle_beta 90.00
_cell_angle_gamma 90.00
_symmetry_space_group_name_H-M 'P 4/n m m'
_symmetry_Int_Tables_number 129
loop_
_symmetry_equiv_pos_as_xyz
'x,y,z'
'-x,-y,-z'
'-y+1/2,x,z'
'y+1/2,-x,-z'
'-x+1/2,-y+1/2,z'
'x+1/2,y+1/2,-z'
'y,-x+1/2,z'
'-y,x+1/2,-z'
'x+1/2,-y,-z'
'-x+1/2,y,z'
'-y,-x,-z'
'y,x,z'
'-x,y+1/2,-z'
'x,-y+1/2,z'
'y+1/2,x+1/2,-z'
'-y+1/2,-x+1/2,z'
loop_
_atom_site_label
_atom_site_fract_x
_atom_site_fract_y
_atom_site_fract_z
Nd1 0.2500 0.2500 0.1440
Er1 0.2500 0.7500 0.5000
As1 0.2500 0.2500 0.7685

---

(19)
# NdEr3As4 GGA-PBE optimized geometry
# N(E_F): 0.7 states/eV per cell
# E_form: -1.500 eV per atom
data_NdEr3As4
_chemical_formula_sum 'Nd1 Er3 As4'
_cell_length_a 5.8431
_cell_length_b 5.8431
_cell_length_c 5.8431
_cell_angle_alpha 90.00
_cell_angle_beta 90.00
_cell_angle_gamma 90.00
_symmetry_space_group_name_H-M 'P m -3 m'
_symmetry_Int_Tables_number 221
_symmetry_space_group_name_Hall '-P 4 2 3'
loop_
_atom_site_label
_atom_site_fract_x
_atom_site_fract_y
_atom_site_fract_z
Nd1 0.0000 0.0000 0.0000
Er1 0.0000 0.5000 0.5000
As1 0.0000 0.0000 0.5000
As2 0.5000 0.5000 0.5000

---

(20)
# NdEr2As3 GGA-PBE optimized geometry
# N(E_F): 1.7 states/eV per cell
# E_form: -1.502 eV per atom
data_NdEr2As3
_chemical_formula_sum 'Nd2 Er4 As6'
_cell_length_a 4.1487
_cell_length_b 5.8743
_cell_length_c 12.4328
_cell_angle_alpha 90.00
_cell_angle_beta 90.00
_cell_angle_gamma 90.00
_symmetry_space_group_name_H-M 'I m m m'
_symmetry_Int_Tables_number 71
_symmetry_space_group_name_Hall '-I 2 2'
loop_
_atom_site_label
_atom_site_fract_x
_atom_site_fract_y
_atom_site_fract_z
Nd1 0.0000 0.0000 0.0000
Er1 0.0000 0.0000 0.3343
As1 0.0000 0.5000 0.0000
As2 0.0000 0.5000 0.3271